[1]
## Tl2TcHg (PBE)

Data for a relaxed Tl2TcHg crystal.

The structure in POSCAR format:
```
Tl2TcHg
1.0
3.235 0.000 0.000
-1.617 2.801 0.000
0.000 0.000 30.435
Tl Tc Hg
6 3 3
Cartesian
0.000 0.000 0.000
0.000 0.000 7.215
0.000 1.868 20.290
0.000 1.868 27.505
1.617 0.934 10.145
1.617 0.934 17.360
0.000 0.000 15.125
0.000 1.868 4.980
1.617 0.934 25.270
0.000 0.000 23.072
0.000 1.868 12.927
1.617 0.934 2.782
```

Summary:
Energy above the lowest structure with this stoichiometry, eV/atom: 0.080
Formation energy from the elements, eV/atom: 0.567
DOS at the Fermi energy, states/eV per cell: 6.7
Crystal system: trigonal
Uncorrected energy, eV for the cell shown: -39.4

=====

[2]
## TlTc2Hg (PBE)

Data for a relaxed TlTc2Hg crystal.

The structure in POSCAR format:
```
TlTc2Hg
1.0
3.004 0.000 0.000
0.000 3.004 0.000
0.000 0.000 8.694
Tl Tc Hg
1 2 1
Cartesian
0.000 0.000 0.000
0.000 0.000 5.010
1.502 1.502 6.430
1.502 1.502 2.843
```

Summary:
Energy above the lowest structure with this stoichiometry, eV/atom: 0.016
Formation energy from the elements, eV/atom: 0.315
DOS at the Fermi energy, states/eV per cell: 3.0
Crystal system: tetragonal
Uncorrected energy, eV for the cell shown: -22.1

=====

[3]
## TlTcHg3 (PBE)

Data for a relaxed TlTcHg3 crystal.

The structure in POSCAR format:
```
TlTcHg3
1.0
5.351 0.000 0.000
0.000 5.351 0.000
0.000 0.000 5.351
Tl Tc Hg
1 1 3
Cartesian
0.000 0.000 0.000
2.675 2.675 2.675
0.000 2.675 2.675
2.675 0.000 2.675
2.675 2.675 0.000
```

Summary:
Energy above the lowest structure with this stoichiometry, eV/atom: 0.000
Formation energy from the elements, eV/atom: 0.564
DOS at the Fermi energy, states/eV per cell: 5.9
Crystal system: cubic
Uncorrected energy, eV for the cell shown: -10.8

=====

[4]
## Tl2TcHg (PBE)

Data for a relaxed Tl2TcHg crystal.

The structure in POSCAR format:
```
Tl2TcHg
1.0
4.302 0.000 0.000
0.000 4.302 0.000
0.000 0.000 9.342
Tl Tc Hg
4 2 2
Cartesian
0.000 2.151 2.336
0.000 2.151 7.007
2.151 0.000 2.336
2.151 0.000 7.007
0.000 0.000 0.000
2.151 2.151 4.671
0.000 0.000 4.671
2.151 2.151 0.000
```

Summary:
Energy above the lowest structure with this stoichiometry, eV/atom: 0.190
Formation energy from the elements, eV/atom: 0.677
DOS at the Fermi energy, states/eV per cell: 1.7
Crystal system: tetragonal
Uncorrected energy, eV for the cell shown: -25.4

=====

[5]
## Tl2TcHg (PBE)

Data for a relaxed Tl2TcHg crystal.

The structure in POSCAR format:
```
Tl2TcHg
1.0
7.195 0.000 0.000
0.000 7.195 0.000
0.000 0.000 7.195
Tl Tc Hg
8 4 4
Cartesian
1.799 1.799 1.799
1.799 1.799 5.396
1.799 5.396 1.799
1.799 5.396 5.396
5.396 1.799 1.799
5.396 1.799 5.396
5.396 5.396 1.799
5.396 5.396 5.396
0.000 0.000 0.000
0.000 3.598 3.598
3.598 0.000 3.598
3.598 3.598 0.000
0.000 0.000 3.598
0.000 3.598 0.000
3.598 0.000 0.000
3.598 3.598 3.598
```

Summary:
Energy above the lowest structure with this stoichiometry, eV/atom: 0.324
Formation energy from the elements, eV/atom: 0.810
DOS at the Fermi energy, states/eV per cell: 14.2
Crystal system: cubic
Uncorrected energy, eV for the cell shown: -48.6

=====

[6]
## TlTcHg2 (PBE)

Data for a relaxed TlTcHg2 crystal.

The structure in POSCAR format:
```
TlTcHg2
1.0
3.181 0.000 0.000
-1.591 2.755 0.000
0.000 0.000 29.844
Tl Tc Hg
3 3 6
Cartesian
0.000 0.000 0.000
0.000 1.837 19.896
1.591 0.918 9.948
0.000 0.000 14.922
0.000 1.837 4.974
1.591 0.918 24.870
0.000 0.000 7.188
0.000 0.000 22.656
0.000 1.837 12.708
0.000 1.837 27.084
1.591 0.918 2.760
1.591 0.918 17.136
```

Summary:
Energy above the lowest structure with this stoichiometry, eV/atom: 0.083
Formation energy from the elements, eV/atom: 0.558
DOS at the Fermi energy, states/eV per cell: 10.3
Crystal system: trigonal
Uncorrected energy, eV for the cell shown: -33.3

=====

[7]
## Tl2TcHg2 (PBE)

Data for a relaxed Tl2TcHg2 crystal.

The structure in POSCAR format:
```
Tl2TcHg2
1.0
7.527 0.000 0.000
0.000 7.527 0.000
0.000 0.000 4.762
Tl Tc Hg
4 2 4
Cartesian
1.228 2.535 0.000
2.535 6.298 0.000
4.992 1.228 0.000
6.298 4.992 0.000
0.000 0.000 0.000
3.763 3.763 0.000
1.149 4.912 2.381
2.614 1.149 2.381
4.912 6.378 2.381
6.378 2.614 2.381
```

Summary:
Energy above the lowest structure with this stoichiometry, eV/atom: 0.000
Formation energy from the elements, eV/atom: 0.727
DOS at the Fermi energy, states/eV per cell: 10.4
Crystal system: tetragonal
Uncorrected energy, eV for the cell shown: -24.1

=====

[8]
## TlTcHg2 (PBE)

Data for a relaxed TlTcHg2 crystal.

The structure in POSCAR format:
```
TlTcHg2
1.0
4.355 0.000 0.000
0.000 4.368 0.000
0.000 0.000 9.492
Tl Tc Hg
2 2 4
Cartesian
0.000 0.000 0.000
2.178 2.184 0.000
0.000 0.000 4.746
2.178 2.184 4.746
0.000 2.184 2.819
0.000 2.184 6.672
2.178 0.000 2.819
2.178 0.000 6.672
```

Summary:
Energy above the lowest structure with this stoichiometry, eV/atom: 0.046
Formation energy from the elements, eV/atom: 0.521
DOS at the Fermi energy, states/eV per cell: 5.1
Crystal system: orthorhombic
Uncorrected energy, eV for the cell shown: -22.5

=====

Q: formation energy from the elements of number 4 (Tl2TcHg)?
A: 0.677 eV/atom

=====

What did the fifth record say?
## Tl2TcHg (PBE)

Data for a relaxed Tl2TcHg crystal.

The structure in POSCAR format:
```
Tl2TcHg
1.0
7.195 0.000 0.000
0.000 7.195 0.000
0.000 0.000 7.195
Tl Tc Hg
8 4 4
Cartesian
1.799 1.799 1.799
1.799 1.799 5.396
1.799 5.396 1.799
1.799 5.396 5.396
5.396 1.799 1.799
5.396 1.799 5.396
5.396 5.396 1.799
5.396 5.396 5.396
0.000 0.000 0.000
0.000 3.598 3.598
3.598 0.000 3.598
3.598 3.598 0.000
0.000 0.000 3.598
0.000 3.598 0.000
3.598 0.000 0.000
3.598 3.598 3.598
```

Summary:
Energy above the lowest structure with this stoichiometry, eV/atom: 0.324
Formation energy from the elements, eV/atom: 0.810
DOS at the Fermi energy, states/eV per cell: 14.2
Crystal system: cubic
Uncorrected energy, eV for the cell shown: -48.6

=====

Q: What is the DOS at the Fermi energy in the fifth record?
A: 14.2 states/eV per cell